#1
# TaWSe2N

Crystalline TaWSe2N at its relaxed geometry (PBE-GGA, the Alexandria database).

abc: 5.068 5.068 3.750
angles: 90.00 90.00 90.00
Fractional coordinates of all 5 atoms:
N1 0.000 0.000 0.500
Se1 0.000 0.500 0.000
Se2 0.500 0.000 0.000
W1 0.000 0.000 0.000
Ta1 0.500 0.500 0.500

Computed properties:
The density of states at the Fermi level comes out at 4.6 states/eV/f.u.

#2
# TaWSe2N

Crystalline TaWSe2N at its relaxed geometry (PBE-GGA, the Alexandria database).

abc: 5.141 5.141 3.836
angles: 90.00 90.00 90.00
Fractional coordinates of all 5 atoms:
N1 0.000 0.000 0.500
Se1 0.000 0.500 0.000
Se2 0.500 0.000 0.000
W1 0.500 0.500 0.500
Ta1 0.000 0.000 0.000

Computed properties:
The density of states at the Fermi level comes out at 3.9 states/eV/f.u.

Which of them is most stable, and which least? Most stable: #1; least stable: #2.